1.
# MnAl2Fe (PBE, optimized geometry)
data_MnAl2Fe
_symmetry_space_group_name_H-M 'C m m m'
_symmetry_Int_Tables_number 65
_symmetry_space_group_name_Hall '-C 2 2'
_cell_length_a 5.420
_cell_length_b 6.907
_cell_length_c 2.737
_cell_angle_alpha 90.00
_cell_angle_beta 90.00
_cell_angle_gamma 90.00
loop_
_atom_site_label
_atom_site_type_symbol
_atom_site_fract_x
_atom_site_fract_y
_atom_site_fract_z
Mn1 Mn 0.000 0.000 0.000
Al1 Al 0.250 0.250 0.500
Fe1 Fe 0.000 0.500 0.000
# Energy of formation from the pure elements in eV/atom: -0.27
# N(E_F) in states/eV/cell: 5.7
# Magnetic moment in μB/f.u.: 3.93

---

2.
# BaNiSb2Pd (PBE, optimized geometry)
data_BaNiSb2Pd
_symmetry_space_group_name_H-M 'I -4 m 2'
_symmetry_Int_Tables_number 119
_symmetry_space_group_name_Hall 'I -4 -2'
_cell_length_a 4.688
_cell_length_b 4.688
_cell_length_c 11.161
_cell_angle_alpha 90.00
_cell_angle_beta 90.00
_cell_angle_gamma 90.00
loop_
_atom_site_label
_atom_site_type_symbol
_atom_site_fract_x
_atom_site_fract_y
_atom_site_fract_z
Ba1 Ba 0.000 0.000 0.000
Ni1 Ni 0.000 0.500 0.250
Sb1 Sb 0.000 0.000 0.359
Pd1 Pd 0.000 0.500 0.750
# N(E_F) in states/eV/cell: 6.7
# Magnetic moment in μB/f.u.: 0.00
# E_form (uncorrected) in meV per atom: -627

---

3.
# NbSiBrF2 (PBE, optimized geometry)
data_NbSiBrF2
_symmetry_space_group_name_H-M 'P 4/m m m'
_symmetry_Int_Tables_number 123
_symmetry_space_group_name_Hall '-P 4 2'
_cell_length_a 4.132
_cell_length_b 4.132
_cell_length_c 5.428
_cell_angle_alpha 90.00
_cell_angle_beta 90.00
_cell_angle_gamma 90.00
loop_
_atom_site_label
_atom_site_type_symbol
_atom_site_fract_x
_atom_site_fract_y
_atom_site_fract_z
Nb1 Nb 0.000 0.000 0.000
Si1 Si 0.000 0.000 0.500
Br1 Br 0.500 0.500 0.500
F1 F 0.000 0.500 0.000
# N(E_F) in states/eV/cell: 2.8
# Magnetic moment in μB/f.u.: 1.50
# E_form (uncorrected) in meV per atom: -1235

---

4.
# SbRh4Pb (PBE, optimized geometry)
data_SbRh4Pb
_symmetry_space_group_name_H-M 'F -4 3 m'
_symmetry_Int_Tables_number 216
_symmetry_space_group_name_Hall 'F -4 2 3'
_cell_length_a 7.545
_cell_length_b 7.545
_cell_length_c 7.545
_cell_angle_alpha 90.00
_cell_angle_beta 90.00
_cell_angle_gamma 90.00
loop_
_atom_site_label
_atom_site_type_symbol
_atom_site_fract_x
_atom_site_fract_y
_atom_site_fract_z
Sb1 Sb 0.000 0.000 0.000
Rh1 Rh 0.125 0.125 0.375
Pb1 Pb 0.250 0.250 0.750
# N(E_F) in states/eV/cell: 31.3
# Magnetic moment in μB/f.u.: 0.00
# E_form (uncorrected) in meV per atom: 132

---

5.
# Rb3In5F12 (PBE, optimized geometry)
data_Rb3In5F12
_symmetry_space_group_name_H-M 'I a -3 d'
_symmetry_Int_Tables_number 230
_symmetry_space_group_name_Hall '-I 4bd 2c 3'
_cell_length_a 15.204
_cell_length_b 15.204
_cell_length_c 15.204
_cell_angle_alpha 90.00
_cell_angle_beta 90.00
_cell_angle_gamma 90.00
loop_
_atom_site_label
_atom_site_type_symbol
_atom_site_fract_x
_atom_site_fract_y
_atom_site_fract_z
Rb1 Rb 0.000 0.250 0.125
In1 In 0.000 0.000 0.000
In2 In 0.000 0.250 0.375
F1 F 0.027 0.051 0.628
# N(E_F) in states/eV/cell: 0.0
# Magnetic moment in μB/f.u.: 0.00
# E_form (uncorrected) in meV per atom: -2362

---

6.
# ThCoPt (PBE, optimized geometry)
data_ThCoPt
_symmetry_space_group_name_H-M 'P -6 m 2'
_symmetry_Int_Tables_number 187
_symmetry_space_group_name_Hall 'P -6 2'
_cell_length_a 4.2030
_cell_length_b 4.2030
_cell_length_c 3.9897
_cell_angle_alpha 90.00
_cell_angle_beta 90.00
_cell_angle_gamma 120.00
loop_
_atom_site_label
_atom_site_type_symbol
_atom_site_fract_x
_atom_site_fract_y
_atom_site_fract_z
Th1 Th 0.0000 0.0000 0.0000
Co1 Co 0.6667 0.3333 0.5000
Pt1 Pt 0.3333 0.6667 0.5000
# Energy of formation from the pure elements in eV/atom: -0.67
# N(E_F) in states/eV/cell: 3.6
# Magnetic moment in μB/f.u.: 0.24

---

7.
# AgTe2Cl (PBE, optimized geometry)
data_AgTe2Cl
_symmetry_space_group_name_H-M 'I -4 2 d'
_symmetry_Int_Tables_number 122
_symmetry_space_group_name_Hall 'I -4 2bw'
_cell_length_a 4.810
_cell_length_b 4.810
_cell_length_c 20.931
_cell_angle_alpha 90.00
_cell_angle_beta 90.00
_cell_angle_gamma 90.00
loop_
_atom_site_label
_atom_site_type_symbol
_atom_site_fract_x
_atom_site_fract_y
_atom_site_fract_z
Ag1 Ag 0.000 0.000 0.000
Te1 Te 0.156 0.250 0.125
Cl1 Cl 0.000 0.000 0.500
# N(E_F) in states/eV/cell: 5.7
# Magnetic moment in μB/f.u.: 0.00
# E_form (uncorrected) in meV per atom: 54

---

8.
# Be3C (PBE, optimized geometry)
data_Be3C
_symmetry_space_group_name_H-M 'C m m m'
_symmetry_Int_Tables_number 65
_symmetry_space_group_name_Hall '-C 2 2'
_cell_length_a 3.313
_cell_length_b 7.493
_cell_length_c 2.930
_cell_angle_alpha 90.00
_cell_angle_beta 90.00
_cell_angle_gamma 90.00
loop_
_atom_site_label
_atom_site_type_symbol
_atom_site_fract_x
_atom_site_fract_y
_atom_site_fract_z
Be1 Be 0.000 0.000 0.000
Be2 Be 0.000 0.362 0.500
C1 C 0.000 0.500 0.000
# Energy of formation from the pure elements in eV/atom: 0.23
# N(E_F) in states/eV/cell: 1.3
# Magnetic moment in μB/f.u.: 0.00
# Polymorph energy (0 for the lowest one) in eV per formula unit: 0.10

---

The highest N(E_F) belongs to which entry?
SbRh4Pb